1.
Density functional theory data (GGA-PBEsol) for an optimized crystal structure of LiCaScZn2.

The crystal system is tetragonal. The value obtained for the formation energy is 0.265 eV/atom. The calculation puts the total magnetic moment at 0.000 μB per formula unit.

The space group is P4/mmm (No. 123) and the conventional cell measures 4.601, 4.601 and 4.646 Å, with angles of 90.00, 90.00 and 90.00 degrees. The distinct sites, in fractional coordinates, are Li at (0.000, 0.000, 0.000), Ca at (0.000, 0.000, 0.500), Sc at (0.500, 0.500, 0.500) and Zn at (0.000, 0.500, 0.000).


2.
Density functional theory data (GGA-PBEsol) for an optimized crystal structure of Li2CaSe.

The crystal system is tetragonal. The uncorrected formation energy is -3.2 eV/f.u. The calculation puts the total magnetic moment at 0.000 μB per formula unit.

The space group is P4/mmm (No. 123) and the conventional cell measures 4.141, 4.141 and 5.055 Å, with angles of 90.00, 90.00 and 90.00 degrees. The distinct sites, in fractional coordinates, are Li at (0.000, 0.500, 0.000), Ca at (0.000, 0.000, 0.500) and Se at (0.500, 0.500, 0.500).


3.
Density functional theory data (GGA-PBEsol) for an optimized crystal structure of LiCa2Se.

The crystal system is tetragonal. The uncorrected formation energy is -2.6 eV/f.u. The calculation puts the total magnetic moment at 0.000 μB per formula unit.

The space group is I-42d (No. 122) and the conventional cell measures 8.199, 8.199 and 7.542 Å, with angles of 90.00, 90.00 and 90.00 degrees. The distinct sites, in fractional coordinates, are Li at (0.000, 0.000, 0.000), Ca at (0.204, 0.250, 0.625) and Se at (0.000, 0.000, 0.500).


> What is the formula in the second record?

Li2CaSe